VASP calculation (GGA-PBE) on La2PrSm2Mg5 after structural relaxation.

abc: 5.2321 10.7455 10.7455
angles: 90.00 90.00 90.00
Fractional positions:
Mg 0.5000 0.5000 0.0000
Mg 0.5000 0.1979 0.0744
Mg 0.5000 0.0744 0.8021
Mg 0.5000 0.3021 0.5744
Mg 0.5000 0.5744 0.6979
Mg 0.5000 0.6979 0.4256
Mg 0.5000 0.4256 0.3021
Mg 0.5000 0.9256 0.1979
Mg 0.5000 0.0000 0.5000
Mg 0.5000 0.8021 0.9256
Sm 0.0000 0.1219 0.6219
Sm 0.0000 0.8781 0.3781
Sm 0.0000 0.6219 0.8781
Sm 0.0000 0.3781 0.1219
Pr 0.0000 0.0000 0.0000
Pr 0.0000 0.5000 0.5000
La 0.0000 0.3247 0.8247
La 0.0000 0.6753 0.1753
La 0.0000 0.1753 0.3247
La 0.0000 0.8247 0.6753

## Properties
The density of states at the Fermi level is 0.69 states/eV per atom. The value obtained for the formation energy is -0.003 eV/atom.